# MgNi2O4 PBE+U relaxed
data_MgNi2O4
_cell_length_a 5.8323
_cell_length_b 5.8323
_cell_length_c 5.8323
_cell_angle_alpha 119.05
_cell_angle_beta 118.76
_cell_angle_gamma 91.91
_symmetry_space_group_name_H-M 'P 1'
_symmetry_Int_Tables_number 1
_symmetry_space_group_name_Hall 'P 1'
loop_
_atom_site_label
_atom_site_type_symbol
_atom_site_fract_x
_atom_site_fract_y
_atom_site_fract_z
Mg1 Mg 0.5000 0.0000 0.0000
Mg2 Mg 0.5000 0.5000 0.5000
Ni1 Ni 0.0000 0.0000 0.0000
Ni2 Ni 0.1149 0.3649 0.7500
Ni3 Ni 0.5000 0.0000 0.5000
Ni4 Ni 0.8851 0.6351 0.2500
O1 O 0.2441 0.2334 0.0108
O2 O 0.2473 0.2362 0.4889
O3 O 0.2473 0.7583 0.0111
O4 O 0.2774 0.7666 0.5108
O5 O 0.7226 0.2334 0.4892
O6 O 0.7527 0.2417 0.9889
O7 O 0.7527 0.7638 0.5111
O8 O 0.7559 0.7666 0.9892
# Crystal system: orthorhombic
# E above lowest polymorph (eV per atom): 0.104
# Space group: No. 74